3
Lattice="4.009 0.000 0.000 -2.005 3.472 0.000 0.000 0.000 4.736" Properties=species:S:1:pos:R:3 comment="LaFeW, relaxed, DFT GGA-PBE" magmom_total_mub_per_cell=0.00 relative_energy_ev_per_fu=0.089 final_energy_ev_per_atom=-8.382 spacegroup="P3m1 (156)" pbc="T T T"
La 0.000 0.000 0.000
Fe 2.005 1.157 2.536
W 0.000 2.315 2.289

4
Lattice="3.505 0.000 0.000 0.000 4.657 0.000 0.000 0.000 5.293" Properties=species:S:1:pos:R:3 comment="La2FeW, relaxed, DFT GGA-PBE" magmom_total_mub_per_cell=1.34 relative_energy_ev_per_fu=2.108 final_energy_ev_per_atom=-6.983 spacegroup="Pmmm (47)" pbc="T T T"
La 0.000 0.000 0.000
La 1.753 0.000 2.647
Fe 0.000 2.329 2.647
W 1.753 2.329 0.000

10
Lattice="4.224 0.000 0.000 0.000 4.224 0.000 0.000 0.000 10.263" Properties=species:S:1:pos:R:3 comment="LaFe2W2, relaxed, DFT GGA-PBE" magmom_total_mub_per_cell=1.50 relative_energy_ev_per_fu=1.205 final_energy_ev_per_atom=-9.158 spacegroup="I4/mmm (139)" pbc="T T T"
La 0.000 0.000 0.000
La 2.112 2.112 5.131
Fe 0.000 2.112 2.566
Fe 0.000 2.112 7.697
Fe 2.112 0.000 2.566
Fe 2.112 0.000 7.697
W 0.000 0.000 3.750
W 0.000 0.000 6.513
W 2.112 2.112 1.382
W 2.112 2.112 8.881

6
Lattice="3.113 0.000 0.000 0.000 3.113 0.000 0.000 0.000 11.940" Properties=species:S:1:pos:R:3 comment="LaFeW, relaxed, DFT GGA-PBE" magmom_total_mub_per_cell=0.00 relative_energy_ev_per_fu=0.000 final_energy_ev_per_atom=-8.411 spacegroup="I4mm (107)" pbc="T T T"
La 0.000 0.000 0.000
La 1.556 1.556 5.970
Fe 0.000 0.000 8.361
Fe 1.556 1.556 2.391
W 0.000 0.000 3.483
W 1.556 1.556 9.453